This record from Alexandria via LeMat-Bulk describes crystalline KCu2Se3 at its relaxed geometry. The functional is GGA-PBE.

Values from the calculation:
ΔE_f (raw) (meV/atom): -437

The structure in CIF format:
```
data_KCu2Se3
_chemical_formula_sum 'K4 Cu8 Se12'
_cell_length_a 7.337
_cell_length_b 14.977
_cell_length_c 5.444
_cell_angle_alpha 90.00
_cell_angle_beta 90.00
_cell_angle_gamma 90.00
_space_group_name_H-M_alt 'C m c m'
_space_group_IT_number 63
_space_group_name_Hall '-C 2c 2'
loop_
_atom_site_label
_atom_site_fract_x
_atom_site_fract_y
_atom_site_fract_z
_atom_site_occupancy
K1 0.000 0.223 0.250 1
Cu1 0.184 0.500 0.000 1
Se1 0.000 0.395 0.750 1
Se2 0.167 0.112 0.750 1
```

=====

This record from Alexandria via LeMat-Bulk describes crystalline KCu2Se at its relaxed geometry. The functional is GGA-PBE.

Values from the calculation:
ΔE_f (raw) (meV/atom): 315

The structure in CIF format:
```
data_KCu2Se
_chemical_formula_sum 'K1 Cu2 Se1'
_cell_length_a 3.552
_cell_length_b 3.552
_cell_length_c 6.978
_cell_angle_alpha 90.00
_cell_angle_beta 90.00
_cell_angle_gamma 90.00
_space_group_name_H-M_alt 'P 4/m m m'
_space_group_IT_number 123
_space_group_name_Hall '-P 4 2'
loop_
_atom_site_label
_atom_site_fract_x
_atom_site_fract_y
_atom_site_fract_z
_atom_site_occupancy
K1 0.000 0.000 0.000 1
Cu1 0.500 0.500 0.333 1
Se1 0.000 0.000 0.500 1
```

=====

DOS(E_F): 2.59 2.81 (states/eV/f.u.)